Sn3ClO2 | GGA-PBE | relaxed

Cell lengths 8.0122, 8.0122, 8.0122 Å; angles 48.08, 48.08, 48.08 degrees
Closest atoms and distances in Å follow each position.
Atoms (fractional coordinates):
Sn 0.2435 0.2435 0.7174  3 O 2.34-2.45
Sn 0.2435 0.7174 0.2435  3 O 2.34-2.45
Sn 0.2826 0.7565 0.7565  3 O 2.34-2.45
Sn 0.7174 0.2435 0.2435  3 O 2.34-2.45
Sn 0.7565 0.2826 0.7565  3 O 2.34-2.45
Sn 0.7565 0.7565 0.2826  3 O 2.34-2.45
Cl 0.1932 0.1932 0.1932  9 Sn 3.31-3.60, 3 O 3.52
Cl 0.8068 0.8068 0.8068  9 Sn 3.31-3.60, 3 O 3.52
O 0.0000 0.0000 0.0000  6 Sn 2.45
O 0.0000 0.5000 0.5000  4 Sn 2.34
O 0.5000 0.0000 0.5000  4 Sn 2.34
O 0.5000 0.5000 0.0000  4 Sn 2.34

## Properties
Uncorrected formation energy   -760 meV/atom
Volume   261.0 Å³/cell
SG   No. 166
Uncorrected energy   -4.722 eV per atom

***

SrSn2Cl6O5 | GGA-PBE | relaxed

Cell lengths 9.4294, 9.4294, 12.3967 Å; angles 114.74, 114.74, 80.13 degrees
Closest atoms and distances in Å follow each position.
Atoms (fractional coordinates):
Sr 0.1655 0.8345 0.7500  2 O 2.30
Sr 0.8345 0.1655 0.2500  2 O 2.30
Sn 0.1969 0.2126 0.6915  1 O 1.88
Sn 0.2126 0.1969 0.1915  1 O 1.88
Sn 0.7874 0.8031 0.8085  1 O 1.88
Sn 0.8031 0.7874 0.3085  1 O 1.88
Cl 0.0718 0.7862 0.4504  1 Sn 2.41
Cl 0.1717 0.3450 0.0708  1 Sn 2.33
Cl 0.2138 0.9282 0.0496  1 Sn 2.41
Cl 0.2456 0.4804 0.8357  1 Sn 2.39
Cl 0.3450 0.1717 0.5708  1 Sn 2.33
Cl 0.4804 0.2456 0.3357  1 Sn 2.39
Cl 0.5196 0.7544 0.6643  1 Sn 2.39
Cl 0.6550 0.8283 0.4292  1 Sn 2.33
Cl 0.7544 0.5196 0.1643  1 Sn 2.39
Cl 0.7862 0.0718 0.9504  1 Sn 2.41
Cl 0.8283 0.6550 0.9292  1 Sn 2.33
Cl 0.9282 0.2138 0.5496  1 Sn 2.41
O 0.0684 0.5133 0.5383  1 O 1.23
O 0.0763 0.2234 0.2745  1 Sn 1.88
O 0.2234 0.0763 0.7745  1 Sn 1.88
O 0.3867 0.6133 0.7500  1 Sr 2.68, 2 Cl 2.71
O 0.4867 0.9316 0.9617  1 O 1.23
O 0.5133 0.0684 0.0383  1 O 1.23
O 0.6133 0.3867 0.2500  1 Sr 2.68, 2 Cl 2.71
O 0.7766 0.9237 0.2255  1 Sn 1.88
O 0.9237 0.7766 0.7255  1 Sn 1.88
O 0.9316 0.4867 0.4617  1 O 1.23

## Properties
Excess energy over the best structure of this formula in the dataset   0.0000 eV per atom
Uncorrected formation energy   -837 meV/atom
Volume   909.2 Å³/cell
SG   No. 15
Uncorrected energy   -4.091 eV per atom

***

SrSn2Cl6O5 | GGA-PBE | relaxed

Cell lengths 9.7898, 9.7898, 11.0811 Å; angles 101.40, 101.40, 116.26 degrees
Closest atoms and distances in Å follow each position.
Atoms (fractional coordinates):
Sr 0.0916 0.9084 0.7500  3 O 2.30-2.46
Sr 0.9084 0.0916 0.2500  3 O 2.30-2.46
Sn 0.1688 0.3612 0.8756  1 O 1.90
Sn 0.3612 0.1688 0.3756  1 O 1.90
Sn 0.6388 0.8312 0.6244  1 O 1.90
Sn 0.8312 0.6388 0.1244  1 O 1.90
Cl 0.0666 0.7152 0.0651  1 Sn 2.36
Cl 0.1357 0.4766 0.7069  1 O 2.40, 1 Sn 2.41
Cl 0.2848 0.9334 0.4349  1 Sn 2.36
Cl 0.3732 0.5774 0.0537  1 Sn 2.33
Cl 0.4226 0.6268 0.4463  1 Sn 2.33
Cl 0.4766 0.1357 0.2069  1 O 2.40, 1 Sn 2.41
Cl 0.5234 0.8643 0.7931  1 O 2.40, 1 Sn 2.41
Cl 0.5774 0.3732 0.5537  1 Sn 2.33
Cl 0.6268 0.4226 0.9463  1 Sn 2.33
Cl 0.7152 0.0666 0.5651  1 Sn 2.36
Cl 0.8643 0.5234 0.2931  1 O 2.40, 1 Sn 2.41
Cl 0.9334 0.2848 0.9349  1 Sn 2.36
O 0.0179 0.0694 0.5008  1 O 1.24
O 0.0694 0.0179 0.0008  1 O 1.24
O 0.1818 0.1939 0.3100  1 Sn 1.90
O 0.1939 0.1818 0.8100  1 Sn 1.90
O 0.2394 0.7606 0.7500  2 Cl 2.40, 1 Sr 2.46
O 0.7606 0.2394 0.2500  2 Cl 2.40, 1 Sr 2.46
O 0.8061 0.8182 0.1900  1 Sn 1.90
O 0.8182 0.8061 0.6900  1 Sn 1.90
O 0.9306 0.9821 0.9992  1 O 1.24
O 0.9821 0.9306 0.4992  1 O 1.24

## Properties
Excess energy over the best structure of this formula in the dataset   0.0234 eV per atom
Uncorrected formation energy   -813 meV/atom
Volume   883.1 Å³/cell
SG   No. 15
Uncorrected energy   -4.068 eV per atom

***

TaSnCl2O | GGA-PBE | relaxed

Cell lengths 5.2052, 5.2052, 3.8933 Å; angles 90.00, 90.00, 90.00 degrees
Closest atoms and distances in Å follow each position.
Atoms (fractional coordinates):
Ta 0.0000 0.0000 0.0000  2 O 1.95
Sn 0.5000 0.5000 0.5000  8 Cl 3.25
Cl 0.0000 0.5000 0.0000  2 Ta 2.60
Cl 0.5000 0.0000 0.0000  2 Ta 2.60
O 0.0000 0.0000 0.5000  2 Ta 1.95

## Properties
Uncorrected formation energy   -726 meV/atom
Volume   105.5 Å³/cell
SG   No. 123
Uncorrected energy   -5.627 eV per atom

***

ZnSn2Cl2O2 | GGA-PBE | relaxed

Cell lengths 6.1837, 6.1837, 8.0684 Å; angles 120.39, 120.39, 34.49 degrees
Closest atoms and distances in Å follow each position.
Atoms (fractional coordinates):
Zn 0.0000 0.0000 0.0000  2 O 2.02
Sn 0.1906 0.1906 0.7806  3 O 2.23-2.27
Sn 0.8094 0.8094 0.2194  3 O 2.23-2.27
Cl 0.4343 0.4343 0.7407  2 Zn 2.57
Cl 0.5657 0.5657 0.2593  2 Zn 2.57
O 0.1877 0.1877 0.0551  1 Zn 2.02, 1 Sn 2.23
O 0.8123 0.8123 0.9449  1 Zn 2.02, 1 Sn 2.23

## Properties
Uncorrected formation energy   -1227 meV/atom
Volume   148.2 Å³/cell
SG   No. 12
Uncorrected energy   -4.497 eV per atom

***

Sr6ClO5 | GGA-PBE | relaxed

Cell lengths 6.5484, 6.5484, 6.5196 Å; angles 99.71, 99.71, 119.98 degrees
Closest atoms and distances in Å follow each position.
Atoms (fractional coordinates):
Sr 0.0483 0.4120 0.2422  5 O 2.49-2.75
Sr 0.2312 0.2312 0.7725  5 O 2.45-2.70
Sr 0.4120 0.0483 0.2422  5 O 2.49-2.75
Sr 0.5880 0.9517 0.7578  5 O 2.49-2.75
Sr 0.7688 0.7688 0.2275  5 O 2.45-2.70
Sr 0.9517 0.5880 0.7578  5 O 2.49-2.75
Cl 0.5000 0.5000 0.5000  6 Sr 2.86-2.89
O 0.0000 0.0000 0.0000  6 Sr 2.45-2.72
O 0.1680 0.8320 0.5000  6 Sr 2.61-2.70
O 0.3360 0.6640 0.0000  6 Sr 2.49-2.75
O 0.6640 0.3360 0.0000  6 Sr 2.49-2.75
O 0.8320 0.1680 0.5000  6 Sr 2.61-2.70

## Properties
Uncorrected formation energy   -2472 meV/atom
Volume   228.0 Å³/cell
SG   No. 12
Uncorrected energy   -5.532 eV per atom

***

Sr2ClO | GGA-PBE | relaxed

Cell lengths 4.8685, 4.8685, 4.8685 Å; angles 60.00, 60.00, 60.00 degrees
Closest atoms and distances in Å follow each position.
Atoms (fractional coordinates):
Sr 0.2500 0.2500 0.2500  4 O 2.98, 4 Cl 2.98
Sr 0.7500 0.7500 0.7500  4 Cl 2.98, 4 O 2.98
Cl 0.0000 0.0000 0.0000  8 Sr 2.98
O 0.5000 0.5000 0.5000  8 Sr 2.98

## Properties
Excess energy over the best structure of this formula in the dataset   0.6415 eV per atom
Uncorrected formation energy   -1530 meV/atom
Volume   81.6 Å³/cell
SG   No. 225
Uncorrected energy   -4.072 eV per atom

***

Sr2ClO | GGA-PBE | relaxed

Cell lengths 7.3508, 7.3508, 7.3508 Å; angles 127.36, 127.36, 77.67 degrees
Closest atoms and distances in Å follow each position.
Atoms (fractional coordinates):
Sr 0.0458 0.6250 0.9208  2 O 2.44
Sr 0.3750 0.2958 0.4208  2 O 2.44
Sr 0.7042 0.1250 0.0792  2 O 2.44
Sr 0.8750 0.9542 0.5792  2 O 2.44
Cl 0.2500 0.7500 0.5000  4 Sr 3.05
Cl 0.5000 0.5000 0.0000  4 Sr 3.05
O 0.0000 0.0000 0.0000  4 Sr 2.44
O 0.7500 0.2500 0.5000  4 Sr 2.44

## Properties
Excess energy over the best structure of this formula in the dataset   0.0764 eV per atom
Uncorrected formation energy   -2095 meV/atom
Volume   243.3 Å³/cell
SG   No. 122
Uncorrected energy   -4.637 eV per atom

***

Repeat the fourth record exactly.
TaSnCl2O | GGA-PBE | relaxed

Cell lengths 5.2052, 5.2052, 3.8933 Å; angles 90.00, 90.00, 90.00 degrees
Closest atoms and distances in Å follow each position.
Atoms (fractional coordinates):
Ta 0.0000 0.0000 0.0000  2 O 1.95
Sn 0.5000 0.5000 0.5000  8 Cl 3.25
Cl 0.0000 0.5000 0.0000  2 Ta 2.60
Cl 0.5000 0.0000 0.0000  2 Ta 2.60
O 0.0000 0.0000 0.5000  2 Ta 1.95

## Properties
Uncorrected formation energy   -726 meV/atom
Volume   105.5 Å³/cell
SG   No. 123
Uncorrected energy   -5.627 eV per atom